--- w ---
# KZrIn

Crystalline KZrIn at its relaxed geometry (PBE, Alexandria).

The structure in POSCAR format:
```
KZrIn
1.0
3.2936 0.0000 0.0000
-1.6468 2.8523 0.0000
0.0000 0.0000 9.1386
K Zr In
1 1 1
Direct
0.0000 0.0000 0.0000
0.6667 0.3333 0.3775
0.3333 0.6667 0.6589
```

--- x ---
# KZrIn

Crystalline KZrIn at its relaxed geometry (PBE, Alexandria).

The structure in POSCAR format:
```
KZrIn
1.0
4.1488 0.0000 0.0000
2.0737 4.9850 0.0000
0.0248 1.9914 10.8436
K Zr In
2 2 2
Direct
0.0000 0.0000 0.0000
0.3407 0.3276 0.3079
0.1009 0.8046 0.5345
0.5359 0.9329 0.7043
0.2613 0.4808 0.8035
0.8185 0.3690 0.5998
```

Of them, x has the highest stability.

--- w ---
# BaRe3W

Crystalline BaRe3W at its relaxed geometry (PBE, Alexandria).

The structure in POSCAR format:
```
BaRe3W
1.0
4.8407 0.0000 0.0000
0.0000 4.8407 0.0000
0.0000 0.0000 4.8407
Ba Re W
1 3 1
Direct
0.0000 0.0000 0.0000
0.0000 0.0000 0.5000
0.0000 0.5000 0.0000
0.5000 0.0000 0.0000
0.5000 0.5000 0.5000
```

--- x ---
# BaRe3W

Crystalline BaRe3W at its relaxed geometry (PBE, Alexandria).

The structure in POSCAR format:
```
BaRe3W
1.0
4.9098 0.0000 0.0000
0.0000 4.9098 0.0000
0.0000 0.0000 4.9098
Ba Re W
1 3 1
Direct
0.0000 0.0000 0.0000
0.0000 0.5000 0.5000
0.5000 0.0000 0.5000
0.5000 0.5000 0.0000
0.5000 0.5000 0.5000
```

Of them, x has the highest stability.

--- w ---
# B2C

Crystalline B2C at its relaxed geometry (PBE, Alexandria).

The structure in POSCAR format:
```
B2C
1.0
2.6167 0.0000 0.0000
-1.3083 2.2661 0.0000
0.0000 0.0000 14.4055
B C
8 4
Direct
0.0000 0.0000 0.0000
0.0000 0.0000 0.1164
0.0000 0.0000 0.4774
0.3333 0.6667 0.1887
0.3333 0.6667 0.6169
0.3333 0.6667 0.7418
0.6667 0.3333 0.8091
0.6667 0.3333 0.9259
0.0000 0.0000 0.6079
0.3333 0.6667 0.2983
0.6667 0.3333 0.3354
0.6667 0.3333 0.4426
```

--- x ---
# B2C

Crystalline B2C at its relaxed geometry (PBE, Alexandria).

The structure in POSCAR format:
```
B2C
1.0
2.5189 0.0000 0.0000
-1.2595 2.1814 0.0000
0.0000 0.0000 15.0777
B C
8 4
Direct
0.0000 0.0000 0.2194
0.0000 0.0000 0.7806
0.3333 0.6667 0.4647
0.3333 0.6667 0.8526
0.3333 0.6667 0.9638
0.6667 0.3333 0.0362
0.6667 0.3333 0.1474
0.6667 0.3333 0.5353
0.0000 0.0000 0.3244
0.0000 0.0000 0.6756
0.3333 0.6667 0.3598
0.6667 0.3333 0.6402
```

Of them, x has the highest stability.

--- w ---
# B5C7

Crystalline B5C7 at its relaxed geometry (PBE, Alexandria).

The structure in POSCAR format:
```
B5C7
1.0
6.1543 -1.2787 0.0000
6.1543 1.2787 0.0000
-1.1360 0.0000 5.0653
B C
5 7
Direct
0.0000 0.0000 0.0000
0.0059 0.0059 0.4564
0.1126 0.1126 0.7567
0.3501 0.3501 0.6404
0.6864 0.6864 0.3050
0.0983 0.0983 0.2566
0.3452 0.3452 0.1383
0.4177 0.4177 0.4161
0.4189 0.4189 0.9363
0.6953 0.6953 0.8171
0.7558 0.7558 0.6037
0.7667 0.7667 0.0962
```

--- x ---
# B5C7

Crystalline B5C7 at its relaxed geometry (PBE, Alexandria).

The structure in POSCAR format:
```
B5C7
1.0
6.8717 -1.2862 0.0000
6.8717 1.2862 0.0000
-1.3469 0.0000 4.4513
B C
5 7
Direct
0.0000 0.0000 0.0000
0.0675 0.0675 0.6698
0.5023 0.5023 0.4161
0.6793 0.6793 0.2748
0.8499 0.8499 0.1286
0.1886 0.1886 0.7920
0.2258 0.2258 0.5104
0.3446 0.3446 0.6203
0.3826 0.3826 0.3408
0.5562 0.5562 0.1461
0.7183 0.7183 0.9754
0.8818 0.8818 0.8099
```

Of them, x has the highest stability.

--- w ---
# LiCaTc2

Crystalline LiCaTc2 at its relaxed geometry (PBE, Alexandria).

The structure in POSCAR format:
```
LiCaTc2
1.0
3.1370 0.0000 0.0000
0.0000 3.1370 0.0000
0.0000 0.0000 7.5632
Li Ca Tc
1 1 2
Direct
0.0000 0.0000 0.0000
0.5000 0.5000 0.6698
0.0000 0.0000 0.3822
0.5000 0.5000 0.2137
```

--- x ---
# LiCaTc2

Crystalline LiCaTc2 at its relaxed geometry (PBE, Alexandria).

The structure in POSCAR format:
```
LiCaTc2
1.0
-1.8579 1.8579 10.1926
1.8579 -1.8579 10.1926
1.8579 1.8579 -10.1926
Li Ca Tc
2 2 4
Direct
0.0000 0.0000 0.0000
0.7500 0.2500 0.5000
0.2500 0.7500 0.5000
0.5000 0.5000 0.0000
0.1124 0.6250 0.9874
0.3750 0.3624 0.4874
0.6376 0.1250 0.0126
0.8750 0.8876 0.5126
```

Of them, w has the highest stability.

--- w ---
# YRuBr

Crystalline YRuBr at its relaxed geometry (PBE, Alexandria).

The structure in POSCAR format:
```
YRuBr
1.0
2.0778 1.1996 11.2134
-2.0778 1.1996 11.2134
0.0000 -2.3992 11.2134
Y Ru Br
2 2 2
Direct
0.0591 0.0591 0.0591
0.9409 0.9409 0.9409
0.3362 0.3362 0.3362
0.6638 0.6638 0.6638
0.2200 0.2200 0.2200
0.7800 0.7800 0.7800
```

--- x ---
# YRuBr

Crystalline YRuBr at its relaxed geometry (PBE, Alexandria).

The structure in POSCAR format:
```
YRuBr
1.0
0.0000 3.3946 3.3946
3.3946 0.0000 3.3946
3.3946 3.3946 0.0000
Y Ru Br
1 1 1
Direct
0.0000 0.0000 0.0000
0.7500 0.7500 0.7500
0.2500 0.2500 0.2500
```

Of them, w has the highest stability.

--- w ---
# Al2CdSi

Crystalline Al2CdSi at its relaxed geometry (PBE, Alexandria).

The structure in POSCAR format:
```
Al2CdSi
1.0
4.7174 -1.4840 0.0000
4.7174 1.4840 0.0000
-0.7805 0.0000 5.1963
Al Cd Si
2 1 1
Direct
0.0000 0.0000 0.0000
0.7478 0.7478 0.2472
0.2480 0.2480 0.7452
0.4897 0.4897 0.4331
```

--- x ---
# Al2CdSi

Crystalline Al2CdSi at its relaxed geometry (PBE, Alexandria).

The structure in POSCAR format:
```
Al2CdSi
1.0
-1.3894 2.5029 5.3311
1.3894 -2.5029 5.3311
1.3894 2.5029 -5.3311
Al Cd Si
2 1 1
Direct
0.0000 0.0000 0.0000
0.7614 0.2614 0.5000
0.2808 0.7808 0.5000
0.5471 0.5471 0.0000
```

Of them, w has the highest stability.